Run one
The following is a DFT calculation (GGA-PBE) of an optimized crystal structure of V2ZnSn2.

POSCAR file:
```
V2ZnSn2
1.0
6.6829 0.0000 0.0000
0.0000 6.6829 0.0000
0.0000 0.0000 4.0490
V Zn Sn
4 2 4
direct
0.1307 0.3693 0.0000 V
0.3693 0.8693 0.0000 V
0.6307 0.1307 0.0000 V
0.8693 0.6307 0.0000 V
0.0000 0.0000 0.0000 Zn
0.5000 0.5000 0.0000 Zn
0.1698 0.6698 0.5000 Sn
0.3302 0.1698 0.5000 Sn
0.6698 0.8302 0.5000 Sn
0.8302 0.3302 0.5000 Sn
```

As for the crystal system: tetragonal.

---

Run two
The following is a DFT calculation (GGA-PBE) of an optimized crystal structure of V2ZnSn2.

POSCAR file:
```
V2ZnSn2
1.0
8.0493 0.0000 0.0000
0.0000 8.0493 0.0000
0.0000 0.0000 2.9292
V Zn Sn
4 2 4
direct
0.1061 0.3939 0.0000 V
0.3939 0.8939 0.0000 V
0.6061 0.1061 0.0000 V
0.8939 0.6061 0.0000 V
0.0000 0.0000 0.5000 Zn
0.5000 0.5000 0.5000 Zn
0.1841 0.6841 0.5000 Sn
0.3159 0.1841 0.5000 Sn
0.6841 0.8159 0.5000 Sn
0.8159 0.3159 0.5000 Sn
```

As for the crystal system: tetragonal.

---

Most stable: run one

---

Run one
The following is a DFT calculation (GGA-PBE) of an optimized crystal structure of SnW.

POSCAR file:
```
SnW
1.0
9.9231 0.0000 0.0000
0.0000 9.9231 0.0000
0.0000 0.0000 3.4393
Sn W
8 8
direct
0.0434 0.8006 0.0000 Sn
0.1994 0.0434 0.0000 Sn
0.2144 0.3306 0.5000 Sn
0.3306 0.7856 0.5000 Sn
0.6694 0.2144 0.5000 Sn
0.7856 0.6694 0.5000 Sn
0.8006 0.9566 0.0000 Sn
0.9566 0.1994 0.0000 Sn
0.1052 0.5896 0.5000 W
0.3112 0.5483 0.0000 W
0.4104 0.1052 0.5000 W
0.4517 0.3112 0.0000 W
0.5483 0.6888 0.0000 W
0.5896 0.8948 0.5000 W
0.6888 0.4517 0.0000 W
0.8948 0.4104 0.5000 W
```

As for the crystal system: tetragonal.

---

Run two
The following is a DFT calculation (GGA-PBE) of an optimized crystal structure of SnW.

POSCAR file:
```
SnW
1.0
3.2317 0.0000 0.0000
0.0000 14.2631 0.0000
0.0000 0.0000 4.9628
Sn W
6 6
direct
0.2500 0.0863 0.0682 Sn
0.2500 0.4137 0.0682 Sn
0.2500 0.7500 0.7201 Sn
0.7500 0.2500 0.2799 Sn
0.7500 0.5863 0.9318 Sn
0.7500 0.9137 0.9318 Sn
0.2500 0.2500 0.7625 W
0.2500 0.5721 0.4339 W
0.2500 0.9279 0.4339 W
0.7500 0.0721 0.5661 W
0.7500 0.4279 0.5661 W
0.7500 0.7500 0.2375 W
```

As for the crystal system: orthorhombic.

---

Run three
The following is a DFT calculation (GGA-PBE) of an optimized crystal structure of SnW.

POSCAR file:
```
SnW
1.0
8.3448 0.0000 0.0000
-4.1724 7.2268 0.0000
0.0000 0.0000 4.5638
Sn W
6 6
direct
0.1944 0.3889 0.2500 Sn
0.1944 0.8056 0.2500 Sn
0.3889 0.1944 0.7500 Sn
0.6111 0.8056 0.2500 Sn
0.8056 0.1944 0.7500 Sn
0.8056 0.6111 0.7500 Sn
0.1157 0.5578 0.7500 W
0.4422 0.5578 0.7500 W
0.4422 0.8843 0.7500 W
0.5578 0.1157 0.2500 W
0.5578 0.4422 0.2500 W
0.8843 0.4422 0.2500 W
```

As for the crystal system: hexagonal.

---

Most stable: run three

---

Run one
The following is a DFT calculation (GGA-PBE) of an optimized crystal structure of SnW.

POSCAR file:
```
SnW
1.0
5.8804 0.0000 0.0000
0.0000 5.8804 0.0000
0.0000 0.0000 5.4575
Sn W
4 4
direct
0.1938 0.1938 0.0000 Sn
0.3062 0.6938 0.5000 Sn
0.6938 0.3062 0.5000 Sn
0.8062 0.8062 0.0000 Sn
0.1424 0.1424 0.5000 W
0.3576 0.6424 0.0000 W
0.6424 0.3576 0.0000 W
0.8576 0.8576 0.5000 W
```

As for the crystal system: tetragonal.

---

Run two
The following is a DFT calculation (GGA-PBE) of an optimized crystal structure of SnW.

POSCAR file:
```
SnW
1.0
-4.2228 4.2228 4.2228
4.2228 -4.2228 4.2228
4.2228 4.2228 -4.2228
Sn W
4 4
direct
0.0000 0.0000 0.5881 Sn
0.0000 0.5881 0.0000 Sn
0.4119 0.4119 0.4119 Sn
0.5881 0.0000 0.0000 Sn
0.0000 0.0000 0.2123 W
0.0000 0.2123 0.0000 W
0.2123 0.0000 0.0000 W
0.7877 0.7877 0.7877 W
```

As for the crystal system: cubic.

---

Most stable: run one

---

Run one
The following is a DFT calculation (GGA-PBE) of an optimized crystal structure of YSnW3.

POSCAR file:
```
YSnW3
1.0
4.8737 0.0000 0.0000
0.0000 4.8737 0.0000
0.0000 0.0000 4.8737
Y Sn W
1 1 3
direct
0.0000 0.0000 0.0000 Y
0.5000 0.5000 0.5000 Sn
0.0000 0.0000 0.5000 W
0.0000 0.5000 0.0000 W
0.5000 0.0000 0.0000 W
```

As for the crystal system: cubic.

---

Run two
The following is a DFT calculation (GGA-PBE) of an optimized crystal structure of YSnW3.

POSCAR file:
```
YSnW3
1.0
4.9491 0.0000 0.0000
0.0000 4.9491 0.0000
0.0000 0.0000 4.9491
Y Sn W
1 1 3
direct
0.0000 0.0000 0.0000 Y
0.5000 0.5000 0.5000 Sn
0.0000 0.5000 0.5000 W
0.5000 0.0000 0.5000 W
0.5000 0.5000 0.0000 W
```

As for the crystal system: cubic.

---

Most stable: run two

---

Run one
The following is a DFT calculation (GGA-PBE) of an optimized crystal structure of Y3SnW.

POSCAR file:
```
Y3SnW
1.0
5.3766 0.0000 0.0000
0.0000 5.3766 0.0000
0.0000 0.0000 5.3766
Y Sn W
3 1 1
direct
0.0000 0.0000 0.5000 Y
0.0000 0.5000 0.0000 Y
0.5000 0.0000 0.0000 Y
0.5000 0.5000 0.5000 Sn
0.0000 0.0000 0.0000 W
```

As for the crystal system: cubic.

---

Run two
The following is a DFT calculation (GGA-PBE) of an optimized crystal structure of Y3SnW.

POSCAR file:
```
Y3SnW
1.0
5.6167 0.0000 0.0000
0.0000 5.6167 0.0000
0.0000 0.0000 5.6167
Y Sn W
3 1 1
direct
0.0000 0.0000 0.5000 Y
0.0000 0.5000 0.0000 Y
0.5000 0.0000 0.0000 Y
0.0000 0.0000 0.0000 Sn
0.5000 0.5000 0.5000 W
```

As for the crystal system: cubic.

---

Most stable: run one

---

Run one
The following is a DFT calculation (GGA-PBE) of an optimized crystal structure of Y2SnW2.

POSCAR file:
```
Y2SnW2
1.0
-2.2783 2.2783 6.1473
2.2783 -2.2783 6.1473
2.2783 2.2783 -6.1473
Y Sn W
2 1 2
direct
0.2500 0.7500 0.5000 Y
0.7500 0.2500 0.5000 Y
0.0000 0.0000 0.0000 Sn
0.4085 0.4085 0.0000 W
0.5915 0.5915 0.0000 W
```

As for the crystal system: tetragonal.

---

Run two
The following is a DFT calculation (GGA-PBE) of an optimized crystal structure of Y2SnW2.

POSCAR file:
```
Y2SnW2
1.0
7.2013 0.0000 0.0000
0.0000 7.2013 0.0000
0.0000 0.0000 4.5515
Y Sn W
4 2 4
direct
0.1741 0.3259 0.0000 Y
0.3259 0.8259 0.0000 Y
0.6741 0.1741 0.0000 Y
0.8259 0.6741 0.0000 Y
0.0000 0.0000 0.5000 Sn
0.5000 0.5000 0.5000 Sn
0.1181 0.6181 0.5000 W
0.3819 0.1181 0.5000 W
0.6181 0.8819 0.5000 W
0.8819 0.3819 0.5000 W
```

As for the crystal system: tetragonal.

---

Most stable: run two

---

Run one
The following is a DFT calculation (GGA-PBE) of an optimized crystal structure of ZnSnW2.

POSCAR file:
```
ZnSnW2
1.0
-1.9328 1.9328 9.9011
1.9328 -1.9328 9.9011
1.9328 1.9328 -9.9011
Zn Sn W
2 2 4
direct
0.0000 0.0000 0.0000 Zn
0.7500 0.2500 0.5000 Zn
0.2500 0.7500 0.5000 Sn
0.5000 0.5000 0.0000 Sn
0.1009 0.6250 0.9759 W
0.3750 0.3509 0.4759 W
0.6491 0.1250 0.0241 W
0.8750 0.8991 0.5241 W
```

As for the crystal system: tetragonal.

---

Run two
The following is a DFT calculation (GGA-PBE) of an optimized crystal structure of ZnSnW2.

POSCAR file:
```
ZnSnW2
1.0
0.0000 3.2222 3.2222
3.2222 0.0000 3.2222
3.2222 3.2222 0.0000
Zn Sn W
1 1 2
direct
0.0000 0.0000 0.0000 Zn
0.5000 0.5000 0.5000 Sn
0.2500 0.2500 0.2500 W
0.7500 0.7500 0.7500 W
```

As for the crystal system: cubic.

---

Most stable: run one

---

Run one
The following is a DFT calculation (GGA-PBE) of an optimized crystal structure of ZnSn3W.

POSCAR file:
```
ZnSn3W
1.0
5.1069 0.0000 0.0000
0.0000 5.1069 0.0000
0.0000 0.0000 5.1069
Zn Sn W
1 3 1
direct
0.0000 0.0000 0.0000 Zn
0.0000 0.0000 0.5000 Sn
0.0000 0.5000 0.0000 Sn
0.5000 0.0000 0.0000 Sn
0.5000 0.5000 0.5000 W
```

As for the crystal system: cubic.

---

Run two
The following is a DFT calculation (GGA-PBE) of an optimized crystal structure of ZnSn3W.

POSCAR file:
```
ZnSn3W
1.0
5.2874 0.0000 0.0000
0.0000 5.2874 0.0000
0.0000 0.0000 5.2874
Zn Sn W
1 3 1
direct
0.0000 0.0000 0.0000 Zn
0.0000 0.5000 0.5000 Sn
0.5000 0.0000 0.5000 Sn
0.5000 0.5000 0.0000 Sn
0.5000 0.5000 0.5000 W
```

As for the crystal system: cubic.

---

Most stable: run two

---

Run one
The following is a DFT calculation (GGA-PBE) of an optimized crystal structure of ZrSnW3.

POSCAR file:
```
ZrSnW3
1.0
4.8512 0.0000 0.0000
0.0000 4.8512 0.0000
0.0000 0.0000 4.8512
Zr Sn W
1 1 3
direct
0.0000 0.0000 0.0000 Zr
0.5000 0.5000 0.5000 Sn
0.0000 0.0000 0.5000 W
0.0000 0.5000 0.0000 W
0.5000 0.0000 0.0000 W
```

As for the crystal system: cubic.

---

Run two
The following is a DFT calculation (GGA-PBE) of an optimized crystal structure of ZrSnW3.

POSCAR file:
```
ZrSnW3
1.0
4.8708 0.0000 0.0000
0.0000 4.8708 0.0000
0.0000 0.0000 4.8708
Zr Sn W
1 1 3
direct
0.0000 0.0000 0.0000 Zr
0.5000 0.5000 0.5000 Sn
0.0000 0.5000 0.5000 W
0.5000 0.0000 0.5000 W
0.5000 0.5000 0.0000 W
```

As for the crystal system: cubic.

---

Most stable: run two

---

Run one
The following is a DFT calculation (GGA-PBE) of an optimized crystal structure of YSn4.

POSCAR file:
```
YSn4
1.0
5.7413 0.0000 0.0000
0.0000 5.7413 0.0000
0.0000 0.0000 5.7413
Y Sn
1 4
direct
0.0000 0.0000 0.0000 Y
0.0000 0.0000 0.5000 Sn
0.0000 0.5000 0.0000 Sn
0.5000 0.0000 0.0000 Sn
0.5000 0.5000 0.5000 Sn
```

As for the crystal system: cubic.

---

Run two
The following is a DFT calculation (GGA-PBE) of an optimized crystal structure of YSn4.

POSCAR file:
```
YSn4
1.0
-2.3283 3.2088 9.0317
2.3283 -3.2088 9.0317
2.3283 3.2088 -9.0317
Y Sn
2 8
direct
0.3400 0.0900 0.2500 Y
0.6600 0.9100 0.7500 Y
0.0000 0.5000 0.5000 Sn
0.1526 0.9026 0.2500 Sn
0.1862 0.6920 0.4943 Sn
0.3023 0.3080 0.9943 Sn
0.5000 0.5000 0.0000 Sn
0.6977 0.6920 0.0057 Sn
0.8138 0.3080 0.5057 Sn
0.8474 0.0974 0.7500 Sn
```

As for the crystal system: orthorhombic.

---

Most stable: run two

---

Run one
The following is a DFT calculation (GGA-PBE) of an optimized crystal structure of Y2Sn3.

POSCAR file:
```
Y2Sn3
1.0
3.4452 -4.9995 0.0000
3.4452 4.9995 0.0000
0.0000 0.0000 8.1230
Y Sn
4 6
direct
0.1494 0.8506 0.8972 Y
0.3506 0.6494 0.3972 Y
0.6494 0.3506 0.6028 Y
0.8506 0.1494 0.1028 Y
0.0000 0.0000 0.5000 Sn
0.1343 0.3657 0.7500 Sn
0.3657 0.1343 0.2500 Sn
0.5000 0.5000 0.0000 Sn
0.6343 0.8657 0.7500 Sn
0.8657 0.6343 0.2500 Sn
```

As for the crystal system: orthorhombic.

---

Run two
The following is a DFT calculation (GGA-PBE) of an optimized crystal structure of Y2Sn3.

POSCAR file:
```
Y2Sn3
1.0
7.6785 0.0000 0.0000
0.0000 7.6785 0.0000
0.0000 0.0000 4.5135
Y Sn
4 6
direct
0.1460 0.6941 0.0000 Y
0.3059 0.1460 0.0000 Y
0.6941 0.8540 0.0000 Y
0.8540 0.3059 0.0000 Y
0.0000 0.0000 0.5000 Sn
0.1717 0.3968 0.5000 Sn
0.3968 0.8283 0.5000 Sn
0.5000 0.5000 0.0000 Sn
0.6032 0.1717 0.5000 Sn
0.8283 0.6032 0.5000 Sn
```

As for the crystal system: tetragonal.

---

Most stable: run two